A geometry-optimized Ac8Pd3RuBr4 structure, computed with PBE.

a = 8.821 Å, b = 9.734 Å, c = 8.821 Å
α = 117.00°, β = 120.00°, γ = 90.00°
Fractional coordinates of all 16 atoms:
Ac 0.773 0.303 0.030
Br 0.000 0.000 0.500
Pd 0.000 0.500 0.500
Ac 0.733 0.698 0.466
Ac 0.227 0.697 0.454
Ac 0.267 0.302 0.534
Pd 0.500 0.500 0.000
Ac 0.773 0.303 0.546
Br 0.500 0.000 0.000
Ac 0.257 0.303 0.030
Ru 0.000 0.500 0.000
Ac 0.743 0.697 0.970
Br 0.000 0.000 0.000
Br 0.500 0.000 0.500
Ac 0.227 0.697 0.970
Pd 0.500 0.500 0.500

Values from the calculation:
**Total magnetic moment**: 0.00 μB/atom
**Space group**: C2/m, No. 12
**Electronic total energy**: -5.084 eV/atom
**Density of states at the Fermi level**: 0.65 states/eV/atom
**Formation energy (no corrections)**: -1.058 eV/atom